The following is a DFT calculation (GGA-PBE) of a relaxed CuAsPd3 crystal.

a b c (Å): 4.574 4.574 4.574
angles (deg): 90.00 90.00 90.00
Element x y z (fractional)
Pd 0.000 0.500 0.000
Pd 0.000 0.000 0.500
Pd 0.500 0.000 0.000
Cu 0.000 0.000 0.000
As 0.500 0.500 0.500

Computed properties:
* Fermi-level density of states: 4.65 states/eV/f.u.
* magnetization: 0.000 μB per atom
* ΔE_f: 0.7239 eV per atom
* space group: Pm-3m, No. 221

***

The following is a DFT calculation (GGA-PBE) of a relaxed BP crystal.

a b c (Å): 5.592 5.592 5.592
angles (deg): 90.00 90.00 90.00
Element x y z (fractional)
B 0.000 0.500 0.250
B 0.750 0.000 0.500
B 0.500 0.750 0.000
B 0.250 0.000 0.500
B 0.000 0.500 0.750
B 0.500 0.250 0.000
P 0.750 0.500 0.000
P 0.500 0.000 0.250
P 0.000 0.250 0.500
P 0.250 0.500 0.000
P 0.500 0.000 0.750
P 0.000 0.750 0.500

Computed properties:
* magnetization: 0.000 μB per atom
* ΔE_f: -0.1215 eV per atom
* space group: Pm-3n, No. 223

***

The following is a DFT calculation (GGA-PBE) of a relaxed La2Sn2Hg crystal.

a b c (Å): 4.892 6.518 10.479
angles (deg): 89.36 76.50 67.96
Element x y z (fractional)
La 0.287 0.784 0.641
La 0.887 0.290 0.936
La 0.113 0.710 0.064
La 0.713 0.216 0.359
Sn 0.630 0.872 0.868
Sn 0.058 0.307 0.576
Sn 0.942 0.693 0.424
Sn 0.370 0.128 0.132
Hg 0.523 0.694 0.259
Hg 0.477 0.306 0.741

Computed properties:
* Fermi-level density of states: 0.86 states/eV/f.u.
* magnetization: 0.000 μB per atom
* ΔE_f: -0.6899 eV per atom
* space group: C2/m, No. 12

***

The following is a DFT calculation (GGA-PBE) of a relaxed K3PmY2Te6 crystal.

a b c (Å): 7.846 7.846 8.654
angles (deg): 98.69 98.69 120.00
Element x y z (fractional)
Te 0.070 0.409 0.210
Te 0.269 0.269 0.790
Te 0.930 0.591 0.790
Te 0.409 0.070 0.210
Te 0.731 0.731 0.210
Te 0.591 0.930 0.790
Y 0.667 0.333 0.000
Y 0.333 0.667 0.000
Pm 0.000 0.000 0.000
K 0.835 0.165 0.500
K 0.165 0.835 0.500
K 0.500 0.500 0.500

Computed properties:
* raw formation energy: -1.41 eV per atom
* magnetization: 0.000 μB per atom
* space group: C2/m, No. 12

***

The following is a DFT calculation (GGA-PBE) of a relaxed Ge3SCl crystal.

a b c (Å): 5.092 5.092 5.092
angles (deg): 90.00 90.00 90.00
Element x y z (fractional)
Ge 0.000 0.500 0.000
Ge 0.500 0.000 0.000
Ge 0.000 0.000 0.500
Cl 0.500 0.500 0.500
S 0.000 0.000 0.000

Computed properties:
* Fermi-level density of states: 5.63 states/eV/f.u.
* raw formation energy: 0.51 eV per atom
* magnetization: 0.000 μB per atom
* space group: Pm-3m, No. 221

***

The following is a DFT calculation (GGA-PBE) of a relaxed Tb6DyY2Th crystal.

a b c (Å): 9.198 8.876 8.876
angles (deg): 115.79 91.80 91.80
Element x y z (fractional)
Tb 0.438 0.228 0.882
Tb 0.393 0.525 0.286
Tb 0.107 0.714 0.475
Tb 0.190 0.567 0.006
Tb 0.690 0.006 0.567
Tb 0.893 0.286 0.525
Tb 0.562 0.772 0.118
Tb 0.938 0.882 0.228
Tb 0.810 0.433 0.994
Tb 0.310 0.994 0.433
Tb 0.062 0.118 0.772
Tb 0.607 0.475 0.714
Dy 0.750 0.586 0.414
Dy 0.250 0.414 0.586
Y 0.442 0.796 0.693
Y 0.942 0.693 0.796
Y 0.058 0.307 0.204
Y 0.558 0.204 0.307
Th 0.250 0.963 0.037
Th 0.750 0.037 0.963

Computed properties:
* Fermi-level density of states: 15.17 states/eV/f.u.
* magnetization: 0.000 μB per atom
* ΔE_f: 0.1529 eV per atom
* space group: C2/c, No. 15

***

The following is a DFT calculation (GGA-PBE) of a relaxed ReTePb crystal.

a b c (Å): 7.229 7.229 7.229
angles (deg): 153.77 153.77 37.43
Element x y z (fractional)
Te 0.713 0.713 0.000
Pb 0.969 0.969 0.000
Re 0.318 0.318 0.000

Computed properties:
* Fermi-level density of states: 2.22 states/eV/f.u.
* raw formation energy: 0.43 eV per atom
* magnetization: 0.000 μB per atom
* space group: I4mm, No. 107

***

The following is a DFT calculation (GGA-PBE) of a relaxed Sr3LiRh crystal.

a b c (Å): 4.197 9.991 9.992
angles (deg): 69.32 90.00 90.00
Element x y z (fractional)
Li 0.863 0.194 0.247
Li 0.363 0.694 0.747
Sr 0.363 0.393 0.445
Sr 0.863 0.026 0.672
Sr 0.863 0.363 0.821
Sr 0.863 0.620 0.078
Sr 0.863 0.769 0.415
Sr 0.363 0.996 0.048
Rh 0.363 0.694 0.246
Rh 0.363 0.194 0.746

Computed properties:
* Fermi-level density of states: 3.69 states/eV/f.u.
* magnetization: 0.000 μB per atom
* ΔE_f: -0.0766 eV per atom
* space group: Cmmm, No. 65

***

The following is a DFT calculation (GGA-PBE) of a relaxed VPd2Se crystal.

a b c (Å): 3.795 3.795 9.742
angles (deg): 78.77 78.77 90.00
Each line ends with the local moment (μB).
Element x y z (fractional)
Se 0.000 0.000 0.000  -0.07
Se 0.750 0.250 0.500  -0.07
Pd 0.375 0.376 0.750  -0.03
Pd 0.875 0.874 0.750  -0.03
Pd 0.126 0.625 0.250  -0.03
Pd 0.624 0.125 0.250  -0.03
V 0.250 0.750 0.500  2.07
V 0.500 0.500 0.000  2.07

Computed properties:
* Fermi-level density of states: 3.70 states/eV/f.u.
* raw formation energy: -0.05 eV per atom
* magnetization: 0.556 μB per atom
* space group: I-42d, No. 122

***

The following is a DFT calculation (GGA-PBE) of a relaxed Li4CuTc crystal.

a b c (Å): 4.829 4.829 4.829
angles (deg): 60.00 60.00 60.00
Each line ends with the local moment (μB).
Element x y z (fractional)
Li 0.375 0.375 0.875  -0.04
Li 0.375 0.375 0.375  -0.04
Li 0.875 0.375 0.375  -0.04
Li 0.375 0.875 0.375  -0.04
Tc 0.750 0.750 0.750  1.72
Cu 0.000 0.000 0.000  0.08

Computed properties:
* Fermi-level density of states: 3.94 states/eV/f.u.
* magnetization: 0.279 μB per atom
* ΔE_f: 0.4592 eV per atom
* space group: F-43m, No. 216

***

The following is a DFT calculation (GGA-PBE) of a relaxed Y2MgCuH crystal.

a b c (Å): 4.861 4.861 4.072
angles (deg): 90.00 90.00 90.00
Each line ends with the local moment (μB).
Element x y z (fractional)
Y 0.000 0.500 0.000  0.11
Y 0.500 0.000 0.000  0.11
Cu 0.500 0.500 0.500  0.02
Mg 0.000 0.000 0.500  0.00
H 0.000 0.000 0.000  0.00

Computed properties:
* Fermi-level density of states: 4.13 states/eV/f.u.
* magnetization: 0.080 μB per atom
* uncorrected energy: -4.538 eV per atom
* space group: P4/mmm, No. 123

***

The following is a DFT calculation (GGA-PBE) of a relaxed K2Cd5Pt4 crystal.

a b c (Å): 6.288 7.574 8.106
angles (deg): 65.41 67.18 65.47
Element x y z (fractional)
Pt 0.213 0.372 0.201
Pt 0.408 0.015 0.169
Pt 0.787 0.628 0.799
Pt 0.592 0.985 0.831
Cd 0.000 0.500 0.500
Cd 0.652 0.299 0.888
Cd 0.839 0.701 0.112
Cd 0.161 0.299 0.888
Cd 0.348 0.701 0.112
K 0.255 0.852 0.637
K 0.745 0.148 0.363

Computed properties:
* Fermi-level density of states: 2.73 states/eV/f.u.
* magnetization: 0.000 μB per atom
* ΔE_f: -0.1689 eV per atom
* space group: C2/m, No. 12